Compound: Y5CdIr4
Source: Alexandria
Functional: PBE-GGA
Structure: optimized geometry

Results
The calculation puts the total magnetic moment at 0.28 μB per cell. As for the formation energy: -69 kJ/mol of atoms. The density of states at the Fermi level is 8.2 states/eV per cell.

a = 3.4844 Å, b = 3.4844 Å, c = 17.7451 Å
α = 90.00°, β = 90.00°, γ = 90.00°
With the nearest neighbours (Å) after each atom.
Atoms (fractional coordinates):
Y  0.5000  0.5000  0.5000  8 Ir 3.00
Ir  0.0000  0.0000  0.5960  8 Y 2.98-3.00
Y  0.5000  0.5000  0.8791  4 Ir 2.93, 4 Cd 3.27
Y  0.5000  0.5000  0.6906  8 Ir 2.98-3.02
Ir  0.0000  0.0000  0.2105  8 Y 2.93-3.02
Cd  0.0000  0.0000  0.0000  8 Y 3.27, 4 Cd 3.48
Ir  0.0000  0.0000  0.7895  8 Y 2.93-3.02
Y  0.5000  0.5000  0.1209  4 Ir 2.93, 4 Cd 3.27
Y  0.5000  0.5000  0.3094  8 Ir 2.98-3.02
Ir  0.0000  0.0000  0.4040  8 Y 2.98-3.00